No. 1
AgHgGe2 PBE-GGA optimized geometry; SG = I-42d (122); crystal system = tetragonal; final energy = -2.776 eV per atom; Fermi-level density of states = 0.4378 states/eV/atom; formation energy from the elements = 0.321 eV/atom
1.0
-3.892 3.892 2.831
3.892 -3.892 2.831
3.892 3.892 -2.831
Ag Hg Ge
2 2 4
direct
0.000 0.000 0.000
0.750 0.250 0.500
0.250 0.750 0.500
0.500 0.500 0.000
0.106 0.625 0.981
0.375 0.356 0.481
0.644 0.125 0.019
0.875 0.894 0.519

***

No. 2
Ca3FeTc PBE-GGA optimized geometry; SG = Pm-3m (221); crystal system = cubic; final energy = -3.823 eV per atom; Fermi-level density of states = 0.7835 states/eV/atom; formation energy from the elements = 1.143 eV/atom
1.0
5.217 0.000 0.000
0.000 5.217 0.000
0.000 0.000 5.217
Ca Fe Tc
3 1 1
direct
0.000 0.000 0.500
0.000 0.500 0.000
0.500 0.000 0.000
0.000 0.000 0.000
0.500 0.500 0.500

***

No. 3
Mo2RuRh2 PBE-GGA optimized geometry; SG = Cmc2_1 (36); ΔE to the lowest computed polymorph = 0.000 eV per atom; crystal system = orthorhombic; final energy = -9.163 eV per atom; Fermi-level density of states = 0.5433 states/eV/atom; formation energy from the elements = -0.035 eV/atom
1.0
2.188 -7.063 0.000
2.188 7.063 0.000
0.000 0.000 4.888
Mo Ru Rh
4 2 4
direct
0.056 0.944 0.500
0.273 0.727 0.344
0.727 0.273 0.844
0.944 0.056 0.000
0.138 0.862 0.001
0.862 0.138 0.501
0.343 0.657 0.859
0.457 0.543 0.320
0.543 0.457 0.820
0.657 0.343 0.359

***

No. 4
BW2Se PBE-GGA optimized geometry; SG = Pm (6); ΔE to the lowest computed polymorph = 0.594 eV per atom; crystal system = monoclinic; final energy = -8.548 eV per atom; Fermi-level density of states = 0.3293 states/eV/atom; formation energy from raw total energies = 469 meV per atom
1.0
3.339 0.000 0.000
0.000 4.399 0.000
-1.641 0.000 4.518
B W Se
1 2 1
direct
0.000 0.000 0.000
0.360 0.000 0.714
0.908 0.500 0.812
0.200 0.500 0.388

***

No. 5
CuAgClF2 PBE-GGA optimized geometry; SG = Cmcm (63); ΔE to the lowest computed polymorph = 0.046 eV per atom; crystal system = orthorhombic; final energy = -3.489 eV per atom; Fermi-level density of states = 0.7862 states/eV/atom; formation energy from raw total energies = -982 meV per atom
1.0
1.824 -6.217 0.000
1.824 6.217 0.000
0.000 0.000 7.029
Cu Ag Cl F
2 2 2 4
direct
0.000 0.000 0.000
0.000 0.000 0.500
0.276 0.724 0.750
0.724 0.276 0.250
0.497 0.503 0.250
0.503 0.497 0.750
0.151 0.849 0.011
0.151 0.849 0.489
0.849 0.151 0.511
0.849 0.151 0.989

***

- The highest final energy belongs to which entry?
  AgHgGe2

***

- Which of these has the highest final energy?
  AgHgGe2

***

- The highest final energy belongs to which entry?
  AgHgGe2